1.
## PrYPd4 (GGA-PBE)

Data for PrYPd4 after structural relaxation.

Cell lengths 10.135, 10.135, 5.822 Å; angles 90.00, 90.00, 155.77 degrees
Fractional coordinates of all 12 atoms:
Pr 0.223 0.777 0.750
Pr 0.777 0.223 0.250
Y 0.076 0.924 0.250
Y 0.924 0.076 0.750
Pd 0.071 0.929 0.750
Pd 0.356 0.644 0.009
Pd 0.356 0.644 0.491
Pd 0.500 0.500 0.000
Pd 0.500 0.500 0.500
Pd 0.644 0.356 0.509
Pd 0.644 0.356 0.991
Pd 0.929 0.071 0.250

DFT formation energy (meV/atom): -822
Polymorph energy (0 for the lowest one) (meV per atom): 0
E_tot (eV/cell): -73.9

=====

2.
## NaZr2Sb2 (GGA-PBE)

Data for NaZr2Sb2 after structural relaxation.

Cell lengths 4.667, 4.667, 13.193 Å; angles 90.00, 90.00, 90.00 degrees
Fractional coordinates of all 10 atoms:
Na 0.000 0.000 0.000
Na 0.500 0.500 0.500
Zr 0.000 0.500 0.250
Zr 0.000 0.500 0.750
Zr 0.500 0.000 0.250
Zr 0.500 0.000 0.750
Sb 0.000 0.000 0.380
Sb 0.000 0.000 0.620
Sb 0.500 0.500 0.120
Sb 0.500 0.500 0.880

Polymorph energy (0 for the lowest one) (meV per atom): 107
E_tot (eV/cell): -56.9

=====

3.
## TlSiSe (GGA-PBE)

Data for TlSiSe after structural relaxation.

Cell lengths 6.794, 6.794, 6.794 Å; angles 90.00, 90.00, 90.00 degrees
Fractional coordinates of all 12 atoms:
Tl 0.000 0.000 0.000
Tl 0.000 0.500 0.500
Tl 0.500 0.000 0.500
Tl 0.500 0.500 0.000
Si 0.250 0.250 0.750
Si 0.250 0.750 0.250
Si 0.750 0.250 0.250
Si 0.750 0.750 0.750
Se 0.000 0.000 0.500
Se 0.000 0.500 0.000
Se 0.500 0.000 0.000
Se 0.500 0.500 0.500

Polymorph energy (0 for the lowest one) (meV per atom): 515
E_tot (eV/cell): -40.4